Record 1
A plane-wave DFT calculation with GGA-PBE was carried out for crystalline LiSnPS2 at its relaxed geometry.

Geometry as POSCAR:
```
LiSnPS2
1.0
-4.1505 -0.3312 2.3209
-0.0188 -4.7142 -0.7063
2.0879 -0.5559 3.6544
Sn S P Li
1 2 1 1
Cartesian
-1.0407 -2.8007 2.6345 Sn
-2.0752 -0.1656 1.1605 S
-0.0094 -2.3571 -0.3532 S
1.0439 -0.2779 1.8272 P
0.0000 0.0000 0.0000 Li
```

Its space-group type is P4/mmm. The value obtained for the raw formation energy is 0.352 eV/atom. The total energy comes out at -17.82 eV for the cell shown.

=====

Record 2
A plane-wave DFT calculation with GGA-PBE was carried out for crystalline SrLi2PS4 at its relaxed geometry.

Geometry as POSCAR:
```
SrLi2PS4
1.0
6.5472 0.0000 0.0000
3.2736 5.0401 -0.7238
3.2736 -0.1612 5.0893
S Sr P Li
4 1 1 2
Cartesian
8.5565 2.5374 3.9695 S
11.0852 4.2261 2.0823 S
2.0093 2.3414 0.3960 S
4.5380 0.6528 2.2832 S
0.0000 0.0000 0.0000 Sr
3.2736 2.4394 2.1827 P
6.5472 1.1399 3.6351 Li
6.5472 3.7390 0.7304 Li
```

Its space-group type is I-42m. The value obtained for the raw formation energy is -1.036 eV/atom. The total energy comes out at -35.71 eV for the cell shown.

=====

Record 3
A plane-wave DFT calculation with GGA-PBE was carried out for crystalline SrLiPS2 at its relaxed geometry.

Geometry as POSCAR:
```
SrLiPS2
1.0
5.6508 0.0000 0.0000
0.0000 5.6508 0.0000
0.0000 0.0000 5.9001
Li S P Sr
1 2 1 1
Cartesian
2.8254 2.8254 2.9500 Li
0.0000 2.8254 0.0000 S
2.8254 0.0000 0.0000 S
0.0000 0.0000 2.9500 P
0.0000 0.0000 0.0000 Sr
```

Its space-group type is P4/mmm. The value obtained for the raw formation energy is 0.244 eV/atom. The total energy comes out at -16.04 eV for the cell shown.

=====

Please write out number 2 again, unchanged.
A plane-wave DFT calculation with GGA-PBE was carried out for crystalline SrLi2PS4 at its relaxed geometry.

Geometry as POSCAR:
```
SrLi2PS4
1.0
6.5472 0.0000 0.0000
3.2736 5.0401 -0.7238
3.2736 -0.1612 5.0893
S Sr P Li
4 1 1 2
Cartesian
8.5565 2.5374 3.9695 S
11.0852 4.2261 2.0823 S
2.0093 2.3414 0.3960 S
4.5380 0.6528 2.2832 S
0.0000 0.0000 0.0000 Sr
3.2736 2.4394 2.1827 P
6.5472 1.1399 3.6351 Li
6.5472 3.7390 0.7304 Li
```

Its space-group type is I-42m. The value obtained for the raw formation energy is -1.036 eV/atom. The total energy comes out at -35.71 eV for the cell shown.

=====

Question: What is the formula in the second record?
Answer: SrLi2PS4

=====

Question: Which formula does entry 3 have?
Answer: SrLiPS2